(1)
The following is a GGA-PBE calculation of a relaxed Ge2Pt3 crystal, from the Alexandria database.

Computed properties:
volume = 16.5 A^3/atom
DOS(E_F) = 2.1 states/eV/f.u.
formation energy from the elements = -2.24 eV/f.u.
distance to the lowest polymorph of the same formula = 0 meV/atom
space-group type = Pnma

a b c (Å): 6.995 7.655 12.356
angles (deg): 90.00 90.00 90.00
Sites, in units of the cell vectors:
Pt: 0.876 0.941 0.409
Pt: 0.873 0.060 0.088
Pt: 0.156 0.250 0.785
Pt: 0.910 0.250 0.282
Pt: 0.873 0.440 0.088
Pt: 0.373 0.560 0.412
Pt: 0.124 0.059 0.591
Pt: 0.627 0.060 0.588
Pt: 0.624 0.559 0.909
Pt: 0.127 0.940 0.912
Pt: 0.344 0.250 0.285
Pt: 0.656 0.750 0.715
Pt: 0.844 0.750 0.215
Pt: 0.124 0.441 0.591
Pt: 0.373 0.940 0.412
Pt: 0.376 0.059 0.091
Pt: 0.090 0.750 0.718
Pt: 0.627 0.440 0.588
Pt: 0.876 0.559 0.409
Pt: 0.624 0.941 0.909
Pt: 0.127 0.560 0.912
Pt: 0.376 0.441 0.091
Pt: 0.410 0.750 0.218
Pt: 0.590 0.250 0.782
Ge: 0.873 0.750 0.006
Ge: 0.375 0.528 0.746
Ge: 0.373 0.250 0.494
Ge: 0.625 0.028 0.254
Ge: 0.627 0.750 0.506
Ge: 0.379 0.750 0.009
Ge: 0.125 0.972 0.246
Ge: 0.621 0.250 0.991
Ge: 0.127 0.250 0.994
Ge: 0.375 0.972 0.746
Ge: 0.875 0.472 0.754
Ge: 0.875 0.028 0.754
Ge: 0.125 0.528 0.246
Ge: 0.121 0.750 0.509
Ge: 0.879 0.250 0.491
Ge: 0.625 0.472 0.254

---

(2)
The following is a GGA-PBE calculation of a relaxed GePt crystal, from the Alexandria database.

Computed properties:
volume = 22.8 A^3/atom
DOS(E_F) = 0.6 states/eV/f.u.
formation energy from the elements = -0.48 eV/f.u.
space-group type = I4/m

a b c (Å): 9.060 9.060 4.443
angles (deg): 90.00 90.00 90.00
Sites, in units of the cell vectors:
Pt: 0.102 0.364 0.000
Pt: 0.398 0.136 0.500
Pt: 0.602 0.864 0.500
Pt: 0.864 0.398 0.500
Pt: 0.636 0.102 0.000
Pt: 0.364 0.898 0.000
Pt: 0.898 0.636 0.000
Pt: 0.136 0.602 0.500
Ge: 0.850 0.271 0.000
Ge: 0.729 0.850 0.000
Ge: 0.650 0.229 0.500
Ge: 0.271 0.150 0.000
Ge: 0.150 0.729 0.000
Ge: 0.771 0.650 0.500
Ge: 0.350 0.771 0.500
Ge: 0.229 0.350 0.500

---

(3)
The following is a GGA-PBE calculation of a relaxed GePt3 crystal, from the Alexandria database.

Computed properties:
volume = 16.5 A^3/atom
DOS(E_F) = 2.1 states/eV/f.u.
formation energy from the elements = -0.40 eV/f.u.
space-group type = Pmm2

a b c (Å): 2.816 2.882 8.125
angles (deg): 90.00 90.00 90.00
Sites, in units of the cell vectors:
Pt: 0.500 0.000 0.719
Pt: 0.000 0.500 0.468
Pt: 0.500 0.500 0.175
Ge: 0.000 0.000 0.972